Density functional theory data (PBE-GGA) for a relaxed Zr2TePb crystal.

E above lowest polymorph: 0.0648 eV per atom
Raw formation energy: -1.49 eV per formula unit
Fermi-level density of states: 0.59 states/eV/atom

a = 5.7265 Å, b = 5.7265 Å, c = 5.0867 Å
α = 81.51°, β = 81.51°, γ = 36.09°
Last column: nearest neighbours and their distance in Å.
Sites, in units of the cell vectors:
Pb: 0.5008 0.5008 0.5771  7 Zr 2.99-3.11
Te: 0.2567 0.2567 0.1681  7 Zr 2.96-3.14
Zr: 0.9770 0.9770 0.0845  3 Te 2.96-3.14, 4 Pb 3.11
Zr: 0.7655 0.7655 0.6702  3 Pb 2.99-3.09, 4 Te 3.08-3.12

---

Density functional theory data (PBE-GGA) for a relaxed ZnCu2Au3 crystal.

E above lowest polymorph: 0.0914 eV per atom
Fermi-level density of states: 0.32 states/eV/atom

a = 2.7972 Å, b = 7.8432 Å, c = 9.4322 Å
α = 108.71°, β = 98.53°, γ = 90.00°
Last column: nearest neighbours and their distance in Å.
Sites, in units of the cell vectors:
Zn: 0.3271 0.9524 0.6542  3 Cu 2.54-2.63, 5 Au 2.68-2.72, 2 Zn 2.80
Zn: 0.6729 0.0476 0.3458  3 Cu 2.54-2.63, 5 Au 2.68-2.72, 2 Zn 2.80
Cu: 0.3048 0.6152 0.6096  1 Zn 2.54, 4 Au 2.61-2.73, 6 Cu 2.65-2.80
Cu: 0.6952 0.3848 0.3904  1 Zn 2.54, 4 Au 2.61-2.73, 6 Cu 2.65-2.80
Cu: 0.9223 0.8387 0.8445  2 Zn 2.63, 4 Cu 2.71-2.80, 4 Au 2.72-2.74
Cu: 0.0777 0.1613 0.1555  2 Zn 2.63, 4 Cu 2.71-2.80, 4 Au 2.72-2.74
Au: 0.2936 0.2610 0.5872  3 Zn 2.69-2.72, 3 Cu 2.72-2.73, 3 Au 2.80-2.86
Au: 0.0642 0.8053 0.1283  2 Zn 2.68, 2 Cu 2.72-2.74, 4 Au 2.80-2.95
Au: 0.4337 0.5513 0.8673  3 Cu 2.61-2.72, 4 Au 2.80-2.86
Au: 0.7064 0.7390 0.4128  3 Zn 2.69-2.72, 3 Cu 2.72-2.73, 3 Au 2.80-2.86
Au: 0.5663 0.4487 0.1327  3 Cu 2.61-2.72, 4 Au 2.80-2.86
Au: 0.9358 0.1947 0.8717  2 Zn 2.68, 2 Cu 2.72-2.74, 4 Au 2.80-2.95

---

Density functional theory data (PBE-GGA) for a relaxed Na2LiSn2 crystal.

E above lowest polymorph: 0.1724 eV per atom
Fermi-level density of states: 0.45 states/eV/atom

a = 4.3183 Å, b = 4.3183 Å, c = 8.0413 Å
α = 74.42°, β = 74.42°, γ = 90.00°
Last column: nearest neighbours and their distance in Å.
Sites, in units of the cell vectors:
Na: 0.7500 0.2500 0.5000  4 Na 3.05, 4 Sn 3.18
Na: 0.2500 0.7500 0.5000  4 Na 3.05, 4 Sn 3.18
Sn: 0.4066 0.4066 0.1868  1 Sn 2.78
Sn: 0.5934 0.5934 0.8132  1 Sn 2.78
Li: 0.0000 0.0000 0.0000  8 Sn 3.35

---

What did the second record say?
Density functional theory data (PBE-GGA) for a relaxed ZnCu2Au3 crystal.

E above lowest polymorph: 0.0914 eV per atom
Fermi-level density of states: 0.32 states/eV/atom

a = 2.7972 Å, b = 7.8432 Å, c = 9.4322 Å
α = 108.71°, β = 98.53°, γ = 90.00°
Last column: nearest neighbours and their distance in Å.
Sites, in units of the cell vectors:
Zn: 0.3271 0.9524 0.6542  3 Cu 2.54-2.63, 5 Au 2.68-2.72, 2 Zn 2.80
Zn: 0.6729 0.0476 0.3458  3 Cu 2.54-2.63, 5 Au 2.68-2.72, 2 Zn 2.80
Cu: 0.3048 0.6152 0.6096  1 Zn 2.54, 4 Au 2.61-2.73, 6 Cu 2.65-2.80
Cu: 0.6952 0.3848 0.3904  1 Zn 2.54, 4 Au 2.61-2.73, 6 Cu 2.65-2.80
Cu: 0.9223 0.8387 0.8445  2 Zn 2.63, 4 Cu 2.71-2.80, 4 Au 2.72-2.74
Cu: 0.0777 0.1613 0.1555  2 Zn 2.63, 4 Cu 2.71-2.80, 4 Au 2.72-2.74
Au: 0.2936 0.2610 0.5872  3 Zn 2.69-2.72, 3 Cu 2.72-2.73, 3 Au 2.80-2.86
Au: 0.0642 0.8053 0.1283  2 Zn 2.68, 2 Cu 2.72-2.74, 4 Au 2.80-2.95
Au: 0.4337 0.5513 0.8673  3 Cu 2.61-2.72, 4 Au 2.80-2.86
Au: 0.7064 0.7390 0.4128  3 Zn 2.69-2.72, 3 Cu 2.72-2.73, 3 Au 2.80-2.86
Au: 0.5663 0.4487 0.1327  3 Cu 2.61-2.72, 4 Au 2.80-2.86
Au: 0.9358 0.1947 0.8717  2 Zn 2.68, 2 Cu 2.72-2.74, 4 Au 2.80-2.95

---

The highest E above lowest polymorph belongs to which entry? Na2LiSn2

---

Please write out number 1 again, unchanged.
Density functional theory data (PBE-GGA) for a relaxed Zr2TePb crystal.

E above lowest polymorph: 0.0648 eV per atom
Raw formation energy: -1.49 eV per formula unit
Fermi-level density of states: 0.59 states/eV/atom

a = 5.7265 Å, b = 5.7265 Å, c = 5.0867 Å
α = 81.51°, β = 81.51°, γ = 36.09°
Last column: nearest neighbours and their distance in Å.
Sites, in units of the cell vectors:
Pb: 0.5008 0.5008 0.5771  7 Zr 2.99-3.11
Te: 0.2567 0.2567 0.1681  7 Zr 2.96-3.14
Zr: 0.9770 0.9770 0.0845  3 Te 2.96-3.14, 4 Pb 3.11
Zr: 0.7655 0.7655 0.6702  3 Pb 2.99-3.09, 4 Te 3.08-3.12

---

Copy entry 3 word for word.
Density functional theory data (PBE-GGA) for a relaxed Na2LiSn2 crystal.

E above lowest polymorph: 0.1724 eV per atom
Fermi-level density of states: 0.45 states/eV/atom

a = 4.3183 Å, b = 4.3183 Å, c = 8.0413 Å
α = 74.42°, β = 74.42°, γ = 90.00°
Last column: nearest neighbours and their distance in Å.
Sites, in units of the cell vectors:
Na: 0.7500 0.2500 0.5000  4 Na 3.05, 4 Sn 3.18
Na: 0.2500 0.7500 0.5000  4 Na 3.05, 4 Sn 3.18
Sn: 0.4066 0.4066 0.1868  1 Sn 2.78
Sn: 0.5934 0.5934 0.8132  1 Sn 2.78
Li: 0.0000 0.0000 0.0000  8 Sn 3.35